one:
The following is a DFT calculation (PBE) of a geometry-optimized CsSrTe2I structure. Values from VASP.

Results
Space-group type: P4/mmm, No. 123
Calculated volume (Å³/cell): 264.0
Density (g/cm3): 3.79
Magnetization (μB/atom): 0.305

Geometry as Quantum ESPRESSO input:
```
&SYSTEM
  ibrav = 0, nat = 5, ntyp = 4
/
ATOMIC_SPECIES
Cs 132.91 Cs.upf
Sr 87.62 Sr.upf
Te 127.60 Te.upf
I 126.90 I.upf
CELL_PARAMETERS angstrom
6.354 0.000 0.000
0.000 6.354 0.000
0.000 0.000 6.540
ATOMIC_POSITIONS crystal
Cs 0.000 0.000 0.000
Sr 0.500 0.500 0.500
Te 0.000 0.500 0.500
Te 0.500 0.000 0.500
I 0.500 0.500 0.000
```


two:
The following is a DFT calculation (PBE) of a geometry-optimized CsSrTe2I structure. Values from VASP.

Results
Space-group type: P4/mmm, No. 123
Calculated volume (Å³/cell): 263.1
Density (g/cm3): 3.80
Magnetization (μB/atom): 0.056

Geometry as Quantum ESPRESSO input:
```
&SYSTEM
  ibrav = 0, nat = 5, ntyp = 4
/
ATOMIC_SPECIES
Cs 132.91 Cs.upf
Sr 87.62 Sr.upf
Te 127.60 Te.upf
I 126.90 I.upf
CELL_PARAMETERS angstrom
6.262 0.000 0.000
0.000 6.262 0.000
0.000 0.000 6.709
ATOMIC_POSITIONS crystal
Cs 0.000 0.000 0.000
Sr 0.500 0.500 0.500
Te 0.000 0.500 0.000
Te 0.500 0.000 0.000
I 0.000 0.000 0.500
```


Energies in kJ/mol of atoms, measured from the most stable structure: one 0.0; two 69.5.


one:
The following is a DFT calculation (PBE) of a geometry-optimized CsTaI2 structure. Values from VASP.

Results
Space-group type: I-42d, No. 122
Calculated volume (Å³/cell): 419.9
Density (g/cm3): 4.49
Magnetization (μB/atom): 0.985

Geometry as Quantum ESPRESSO input:
```
&SYSTEM
  ibrav = 0, nat = 8, ntyp = 3
/
ATOMIC_SPECIES
Cs 132.91 Cs.upf
Ta 180.95 Ta.upf
I 126.90 I.upf
CELL_PARAMETERS angstrom
-3.613 3.613 8.043
3.613 -3.613 8.043
3.613 3.613 -8.043
ATOMIC_POSITIONS crystal
Cs 0.000 0.000 0.000
Cs 0.750 0.250 0.500
Ta 0.250 0.750 0.500
Ta 0.500 0.500 0.000
I 0.241 0.625 0.116
I 0.375 0.491 0.616
I 0.509 0.125 0.884
I 0.875 0.759 0.384
```


two:
The following is a DFT calculation (PBE) of a geometry-optimized CsTaI2 structure. Values from VASP.

Results
Space-group type: Fm-3m, No. 225
Calculated volume (Å³/cell): 128.4
Density (g/cm3): 7.34
Magnetization (μB/atom): 0.029

Geometry as Quantum ESPRESSO input:
```
&SYSTEM
  ibrav = 0, nat = 4, ntyp = 3
/
ATOMIC_SPECIES
Cs 132.91 Cs.upf
Ta 180.95 Ta.upf
I 126.90 I.upf
CELL_PARAMETERS angstrom
0.000 4.004 4.004
4.004 0.000 4.004
4.004 4.004 0.000
ATOMIC_POSITIONS crystal
Cs 0.000 0.000 0.000
Ta 0.500 0.500 0.500
I 0.250 0.250 0.250
I 0.750 0.750 0.750
```


Energies in kJ/mol of atoms, measured from the most stable structure: one 0.0; two 50.3.


one:
The following is a DFT calculation (PBE) of a geometry-optimized CsTa2I structure. Values from VASP.

Results
Space-group type: Fm-3m, No. 225
Calculated volume (Å³/cell): 89.9
Density (g/cm3): 11.49
Magnetization (μB/atom): 0.000

Geometry as Quantum ESPRESSO input:
```
&SYSTEM
  ibrav = 0, nat = 4, ntyp = 3
/
ATOMIC_SPECIES
Cs 132.91 Cs.upf
Ta 180.95 Ta.upf
I 126.90 I.upf
CELL_PARAMETERS angstrom
0.000 3.555 3.555
3.555 0.000 3.555
3.555 3.555 0.000
ATOMIC_POSITIONS crystal
Cs 0.000 0.000 0.000
Ta 0.250 0.250 0.250
Ta 0.750 0.750 0.750
I 0.500 0.500 0.500
```


two:
The following is a DFT calculation (PBE) of a geometry-optimized CsTa2I structure. Values from VASP.

Results
Space-group type: I-42d, No. 122
Calculated volume (Å³/cell): 231.5
Density (g/cm3): 8.92
Magnetization (μB/atom): 0.000

Geometry as Quantum ESPRESSO input:
```
&SYSTEM
  ibrav = 0, nat = 8, ntyp = 3
/
ATOMIC_SPECIES
Cs 132.91 Cs.upf
Ta 180.95 Ta.upf
I 126.90 I.upf
CELL_PARAMETERS angstrom
-4.293 4.293 3.139
4.293 -4.293 3.139
4.293 4.293 -3.139
ATOMIC_POSITIONS crystal
Cs 0.000 0.000 0.000
Cs 0.750 0.250 0.500
Ta 0.192 0.625 0.067
Ta 0.375 0.442 0.567
Ta 0.558 0.125 0.933
Ta 0.875 0.808 0.433
I 0.250 0.750 0.500
I 0.500 0.500 0.000
```


Energies in kJ/mol of atoms, measured from the most stable structure: one 5.4; two 0.0.


one:
The following is a DFT calculation (PBE) of a geometry-optimized CsTc3I structure. Values from VASP.

Results
Space-group type: Pm-3m, No. 221
Calculated volume (Å³/cell): 135.0
Density (g/cm3): 6.81
Magnetization (μB/atom): 1.504

Geometry as Quantum ESPRESSO input:
```
&SYSTEM
  ibrav = 0, nat = 5, ntyp = 3
/
ATOMIC_SPECIES
Cs 132.91 Cs.upf
Tc 98.00 Tc.upf
I 126.90 I.upf
CELL_PARAMETERS angstrom
5.130 0.000 0.000
0.000 5.130 0.000
0.000 0.000 5.130
ATOMIC_POSITIONS crystal
Cs 0.000 0.000 0.000
Tc 0.000 0.000 0.500
Tc 0.000 0.500 0.000
Tc 0.500 0.000 0.000
I 0.500 0.500 0.500
```


two:
The following is a DFT calculation (PBE) of a geometry-optimized CsTc3I structure. Values from VASP.

Results
Space-group type: Pm-3m, No. 221
Calculated volume (Å³/cell): 130.5
Density (g/cm3): 7.05
Magnetization (μB/atom): 0.948

Geometry as Quantum ESPRESSO input:
```
&SYSTEM
  ibrav = 0, nat = 5, ntyp = 3
/
ATOMIC_SPECIES
Cs 132.91 Cs.upf
Tc 98.00 Tc.upf
I 126.90 I.upf
CELL_PARAMETERS angstrom
5.073 0.000 0.000
0.000 5.073 0.000
0.000 0.000 5.073
ATOMIC_POSITIONS crystal
Cs 0.000 0.000 0.000
Tc 0.000 0.500 0.500
Tc 0.500 0.000 0.500
Tc 0.500 0.500 0.000
I 0.500 0.500 0.500
```


Energies in kJ/mol of atoms, measured from the most stable structure: one 97.0; two 0.0.


one:
The following is a DFT calculation (PBE) of a geometry-optimized CsTcTe2I structure. Values from VASP.

Results
Space-group type: P4/mmm, No. 123
Calculated volume (Å³/cell): 264.4
Density (g/cm3): 3.85
Magnetization (μB/atom): 1.079

Geometry as Quantum ESPRESSO input:
```
&SYSTEM
  ibrav = 0, nat = 5, ntyp = 4
/
ATOMIC_SPECIES
Cs 132.91 Cs.upf
Tc 98.00 Tc.upf
Te 127.60 Te.upf
I 126.90 I.upf
CELL_PARAMETERS angstrom
6.208 0.000 0.000
0.000 6.208 0.000
0.000 0.000 6.860
ATOMIC_POSITIONS crystal
Cs 0.000 0.000 0.000
Tc 0.500 0.500 0.500
Te 0.000 0.500 0.000
Te 0.500 0.000 0.000
I 0.000 0.000 0.500
```


two:
The following is a DFT calculation (PBE) of a geometry-optimized CsTcTe2I structure. Values from VASP.

Results
Space-group type: P4/mmm, No. 123
Calculated volume (Å³/cell): 171.7
Density (g/cm3): 5.93
Magnetization (μB/atom): 0.127

Geometry as Quantum ESPRESSO input:
```
&SYSTEM
  ibrav = 0, nat = 5, ntyp = 4
/
ATOMIC_SPECIES
Cs 132.91 Cs.upf
Tc 98.00 Tc.upf
Te 127.60 Te.upf
I 126.90 I.upf
CELL_PARAMETERS angstrom
5.272 0.000 0.000
0.000 5.272 0.000
0.000 0.000 6.177
ATOMIC_POSITIONS crystal
Cs 0.000 0.000 0.000
Tc 0.500 0.500 0.500
Te 0.000 0.500 0.500
Te 0.500 0.000 0.500
I 0.500 0.500 0.000
```


Energies in kJ/mol of atoms, measured from the most stable structure: one 164.0; two 0.0.


one:
The following is a DFT calculation (PBE) of a geometry-optimized CsTeI4 structure. Values from VASP.

Results
Space-group type: P2_1/m, No. 11
Calculated volume (Å³/cell): 723.3
Density (g/cm3): 3.53
Magnetization (μB/atom): 0.000

Geometry as Quantum ESPRESSO input:
```
&SYSTEM
  ibrav = 0, nat = 12, ntyp = 3
/
ATOMIC_SPECIES
Cs 132.91 Cs.upf
Te 127.60 Te.upf
I 126.90 I.upf
CELL_PARAMETERS angstrom
6.152 0.000 0.000
0.000 12.770 0.000
-0.036 0.000 9.206
ATOMIC_POSITIONS crystal
Cs 0.044 0.250 0.448
Cs 0.956 0.750 0.552
Te 0.457 0.750 0.133
Te 0.543 0.250 0.867
I 0.042 0.250 0.875
I 0.455 0.750 0.814
I 0.467 0.580 0.361
I 0.467 0.920 0.361
I 0.533 0.080 0.639
I 0.533 0.420 0.639
I 0.545 0.250 0.186
I 0.958 0.750 0.125
```


two:
The following is a DFT calculation (PBE) of a geometry-optimized CsTeI4 structure. Values from VASP.

Results
Space-group type: C2/m, No. 12
Calculated volume (Å³/cell): 330.2
Density (g/cm3): 3.86
Magnetization (μB/atom): 0.000

Geometry as Quantum ESPRESSO input:
```
&SYSTEM
  ibrav = 0, nat = 6, ntyp = 3
/
ATOMIC_SPECIES
Cs 132.91 Cs.upf
Te 127.60 Te.upf
I 126.90 I.upf
CELL_PARAMETERS angstrom
5.998 -3.250 0.000
5.998 3.250 0.000
-4.172 0.000 8.468
ATOMIC_POSITIONS crystal
Cs 0.000 0.000 0.000
Te 0.500 0.500 0.500
I 0.252 0.252 0.499
I 0.380 0.380 0.148
I 0.620 0.620 0.852
I 0.748 0.748 0.501
```


Energies in kJ/mol of atoms, measured from the most stable structure: one 1.1; two 0.0.